# 1
First-principles (PBE) data for an optimized crystal structure of LiTh2Ge2, as listed in Alexandria via LeMat-Bulk.

Properties
DOS(E_F), states/eV/f.u.: 4.4
Space group: No. 15
Magnetic moment, μB per cell: 0.0

Cell lengths 5.953, 5.953, 7.885 Å; angles 102.05, 102.05, 59.60 degrees
Fractional coordinates of all 10 atoms:
Li 0.133 0.867 0.750
Li 0.867 0.133 0.250
Th 0.215 0.491 0.357
Th 0.491 0.215 0.857
Th 0.509 0.785 0.143
Th 0.785 0.509 0.643
Ge 0.001 0.275 0.001
Ge 0.275 0.001 0.501
Ge 0.725 0.999 0.499
Ge 0.999 0.725 0.999


# 2
First-principles (PBE) data for an optimized crystal structure of TlCoAu2, as listed in Alexandria via LeMat-Bulk.

Properties
DOS(E_F), states/eV/f.u.: 4.4
Excess energy over the best structure of this formula in the dataset, eV per atom: 0.111
Space group: No. 44
Magnetic moment, μB per cell: 1.5

Cell lengths 5.410, 5.410, 5.410 Å; angles 143.90, 128.29, 64.69 degrees
Fractional coordinates of all 4 atoms:
Tl 0.000 0.000 0.000
Co 0.763 0.263 0.500
Au 0.268 0.768 0.500
Au 0.536 0.536 0.000


# 3
First-principles (PBE) data for an optimized crystal structure of RbNa2SnPb, as listed in Alexandria via LeMat-Bulk.

Properties
DOS(E_F), states/eV/f.u.: 3.8
Space group: No. 123
Magnetic moment, μB per cell: 0.0

Cell lengths 6.001, 6.001, 6.059 Å; angles 90.00, 90.00, 90.00 degrees
Fractional coordinates of all 5 atoms:
Rb 0.000 0.000 0.000
Na 0.000 0.500 0.500
Na 0.500 0.000 0.500
Sn 0.500 0.500 0.500
Pb 0.500 0.500 0.000


Number 1: energy of formation from the pure elements -590 meV/atom. Number 2: energy of formation from the pure elements 358 meV/atom. Number 3: energy of formation from the pure elements 11 meV/atom.